A plane-wave DFT calculation with GGA+U was carried out for crystalline K3ErV2O8 at its relaxed geometry.

- Symmetry: No. 164
- DOS(E_F): 0.0 states/eV/cell
- Energy: -6.799 eV/atom

Lattice parameters (Å, degrees): 5.984 5.984 7.670 90.00 90.00 120.00
Sites, in units of the cell vectors:
O  0.174  0.347  0.326
O  0.826  0.653  0.674
O  0.667  0.333  0.973
K  0.333  0.667  0.690
O  0.333  0.667  0.027
O  0.347  0.174  0.674
V  0.333  0.667  0.246
K  0.000  0.000  0.000
O  0.826  0.174  0.674
O  0.174  0.826  0.326
V  0.667  0.333  0.754
O  0.653  0.826  0.326
K  0.667  0.333  0.310
Er  0.000  0.000  0.500